## Pr2YS2O2 (PBE)

Data for a relaxed Pr2YS2O2 crystal.

a b c (Å): 8.1597 8.1597 8.1597
angles (deg): 149.43 149.43 43.79
With the nearest neighbours (Å) after each atom.
Fractional coordinates of all 7 atoms:
Pr 0.1336 0.1336 0.0000  5 S 2.84-3.12, 4 O 2.95
Pr 0.8664 0.8664 0.0000  5 S 2.84-3.12, 4 O 2.95
Y 0.5000 0.5000 0.0000  4 O 2.15
S 0.3213 0.3213 0.0000  1 Y 2.71, 1 Pr 2.84
S 0.6787 0.6787 0.0000  1 Y 2.71, 1 Pr 2.84
O 0.0000 0.5000 0.5000  2 Y 2.15
O 0.5000 0.0000 0.5000  2 Y 2.15

Space-group type: No. 139
Formation energy from raw total energies (meV/atom): -2442.4
DOS(E_F) (states/eV per cell): 2.18
Volume (Å³ per cell): 140.17